# RbPbF4 GGA-PBE optimized geometry
data_RbPbF4
_chemical_formula_sum 'Rb2 Pb2 F8'
_symmetry_space_group_name_H-M 'P 1 21/c 1'
_symmetry_Int_Tables_number 14
_cell_length_a 6.6996
_cell_length_b 6.1080
_cell_length_c 6.3164
_cell_angle_alpha 90.00
_cell_angle_beta 97.87
_cell_angle_gamma 90.00
loop_
_symmetry_equiv_pos_as_xyz
'x,y,z'
'-x,-y,-z'
'-x,y+1/2,-z+1/2'
'x,-y+1/2,z+1/2'
loop_
_atom_site_label
_atom_site_type_symbol
_atom_site_fract_x
_atom_site_fract_y
_atom_site_fract_z
Rb1 Rb 0.0000 0.0000 0.0000
Pb1 Pb 0.5000 0.0000 0.5000
F1 F 0.1903 0.1196 0.4105
F2 F 0.4036 0.7149 0.2682
# - energy (eV/atom) = -4.364
# - ΔE to the lowest computed polymorph (kJ/mol of formula units) = 0.0
# - Fermi-level density of states (states/eV/cell) = 3.53

# CsRb2CeBr8 GGA-PBE optimized geometry
data_CsRb2CeBr8
_chemical_formula_sum 'Cs1 Rb2 Ce1 Br8'
_symmetry_space_group_name_H-M 'P 1 2/m 1'
_symmetry_Int_Tables_number 10
_cell_length_a 6.1699
_cell_length_b 7.8108
_cell_length_c 10.3388
_cell_angle_alpha 90.00
_cell_angle_beta 107.01
_cell_angle_gamma 90.00
loop_
_symmetry_equiv_pos_as_xyz
'x,y,z'
'-x,-y,-z'
'-x,y,-z'
'x,-y,z'
loop_
_atom_site_label
_atom_site_type_symbol
_atom_site_fract_x
_atom_site_fract_y
_atom_site_fract_z
Cs1 Cs 0.0000 0.0000 0.0000
Rb1 Rb 0.3470 0.5000 0.6930
Ce1 Ce 0.0000 0.0000 0.5000
Br1 Br 0.1871 0.2571 0.3790
Br2 Br 0.2455 0.5000 0.0006
Br3 Br 0.3575 0.0000 0.7423
# - energy (eV/atom) = -3.409
# - Fermi-level density of states (states/eV/cell) = 1.29

# Li2VCr GGA-PBE optimized geometry
data_Li2VCr
_chemical_formula_sum 'Li8 V4 Cr4'
_symmetry_space_group_name_H-M 'F m -3 m'
_symmetry_Int_Tables_number 225
_symmetry_space_group_name_Hall '-F 4 2 3'
_cell_length_a 6.2159
_cell_length_b 6.2159
_cell_length_c 6.2159
_cell_angle_alpha 90.00
_cell_angle_beta 90.00
_cell_angle_gamma 90.00
loop_
_atom_site_label
_atom_site_type_symbol
_atom_site_fract_x
_atom_site_fract_y
_atom_site_fract_z
Li1 Li 0.2500 0.2500 0.2500
V1 V 0.0000 0.0000 0.0000
Cr1 Cr 0.0000 0.0000 0.5000
# - energy (eV/atom) = -4.968
# - ΔE to the lowest computed polymorph (kJ/mol of formula units) = 0.0
# - Fermi-level density of states (states/eV/cell) = 13.62
# - ΔH_f (0 K) (eV per atom) = 0.674

Question: Which formula does entry 3 have?
Answer: Li2VCr